Crystalline BeCu2Ag at its relaxed geometry, computed with PBE.

Energy of formation   0.12 eV/atom

abc: 2.8796 4.2110 8.3086
angles: 90.00 90.00 90.00
Closest atoms and distances in Å follow each position.
Space group Imm2 (No. 44)
Inequivalent atoms, fractional coordinates:
Be1 0.0000 0.0000 0.0000 (multiplicity 2)  2 Cu 2.25, 2 Ag 2.43
Cu1 0.0000 0.0000 0.5182 (multiplicity 2)  4 Be 2.56, 4 Cu 2.69-2.82, 4 Ag 2.76-2.77
Cu2 0.0000 0.5000 0.2916 (multiplicity 2)  2 Be 2.25
Ag1 0.0000 0.5000 0.7354 (multiplicity 2)  2 Be 2.43, 4 Cu 2.59

***

Crystalline FeSn2MoAs at its relaxed geometry, computed with PBE.

Energy of formation   0.99 eV/atom

abc: 5.1656 5.1656 4.5761
angles: 90.00 90.00 90.00
Closest atoms and distances in Å follow each position.
Space group P4/mmm (No. 123)
Inequivalent atoms, fractional coordinates:
Fe1 0.0000 0.0000 0.0000 (multiplicity 1)  2 Mo 2.29
Sn1 0.0000 0.5000 0.5000 (multiplicity 2)  2 Mo 2.58
Mo1 0.0000 0.0000 0.5000 (multiplicity 1)  2 Fe 2.29
As1 0.5000 0.5000 0.0000 (multiplicity 1)  8 Sn 3.45, 4 Fe 3.65

***

Crystalline RbNpTe3 at its relaxed geometry, computed with PBE.

DFT total energy   -5.34 eV/atom

abc: 5.9021 5.9021 5.9021
angles: 90.00 90.00 90.00
Closest atoms and distances in Å follow each position.
Space group Pm-3m (No. 221)
Inequivalent atoms, fractional coordinates:
Rb1 0.0000 0.0000 0.0000 (multiplicity 1)  12 Te 4.17
Np1 0.5000 0.5000 0.5000 (multiplicity 1)  6 Te 2.95
Te1 0.0000 0.5000 0.5000 (multiplicity 3)  2 Np 2.95